1.
The following is a DFT calculation (PBE) of a relaxed KTlZn2Bi crystal.

a b c (Å): 5.525 5.525 6.567
angles (deg): 90.00 90.00 90.00
Sites, in units of the cell vectors:
1 K 0.000 0.000 0.000
2 Tl 0.500 0.500 0.000
3 Zn 0.000 0.500 0.500
4 Zn 0.500 0.000 0.500
5 Bi 0.000 0.000 0.500

space-group type = P4/mmm, No. 123
energy of formation = 31.8 kJ per mole of atoms
total moment = 0.000 μB/f.u.

---

2.
The following is a DFT calculation (PBE) of a relaxed KTmBi crystal.

a b c (Å): 7.564 7.564 7.564
angles (deg): 147.30 147.30 46.92
Sites, in units of the cell vectors:
1 K 0.000 0.000 0.000
2 Tm 0.271 0.271 0.000
3 Bi 0.719 0.719 0.000

space-group type = I4mm, No. 107
energy of formation = -23.3 kJ per mole of atoms
total moment = 0.677 μB/f.u.

---

3.
The following is a DFT calculation (PBE) of a relaxed KUBi2 crystal.

a b c (Å): 8.642 8.642 8.642
angles (deg): 31.29 31.29 31.29
Sites, in units of the cell vectors:
1 K 0.000 0.000 0.000
2 U 0.500 0.500 0.500
3 Bi 0.231 0.231 0.231
4 Bi 0.769 0.769 0.769

space-group type = R-3m, No. 166
excess energy over the best structure of this formula in the dataset = 110 meV per atom
energy of formation = -1.5 kJ per mole of atoms
total moment = 1.079 μB/f.u.

---

4.
The following is a DFT calculation (PBE) of a relaxed KUBi2 crystal.

a b c (Å): 3.597 3.597 9.869
angles (deg): 90.00 90.00 90.00
Sites, in units of the cell vectors:
1 K 0.000 0.000 0.000
2 U 0.000 0.000 0.500
3 Bi 0.500 0.500 0.274
4 Bi 0.500 0.500 0.726

space-group type = P4/mmm, No. 123
excess energy over the best structure of this formula in the dataset = 0 meV per atom
energy of formation = -12.1 kJ per mole of atoms
total moment = 3.335 μB/f.u.

---

5.
The following is a DFT calculation (PBE) of a relaxed KVBi3 crystal.

a b c (Å): 5.431 5.431 5.431
angles (deg): 90.00 90.00 90.00
Sites, in units of the cell vectors:
1 K 0.000 0.000 0.000
2 V 0.500 0.500 0.500
3 Bi 0.000 0.500 0.500
4 Bi 0.500 0.000 0.500
5 Bi 0.500 0.500 0.000

space-group type = Pm-3m, No. 221
excess energy over the best structure of this formula in the dataset = 0 meV per atom
energy of formation = 11.6 kJ per mole of atoms
total moment = 0.000 μB/f.u.

---

6.
The following is a DFT calculation (PBE) of a relaxed KV3Bi crystal.

a b c (Å): 5.446 5.446 5.446
angles (deg): 90.00 90.00 90.00
Sites, in units of the cell vectors:
1 K 0.000 0.000 0.000
2 V 0.000 0.500 0.500
3 V 0.500 0.000 0.500
4 V 0.500 0.500 0.000
5 Bi 0.500 0.500 0.500

space-group type = Pm-3m, No. 221
excess energy over the best structure of this formula in the dataset = 0 meV per atom
energy of formation = 134.9 kJ per mole of atoms
total moment = 11.728 μB/f.u.

---

7.
The following is a DFT calculation (PBE) of a relaxed K4V2Bi crystal.

a b c (Å): 9.647 9.647 9.647
angles (deg): 138.97 138.97 59.42
Sites, in units of the cell vectors:
1 K 0.000 0.500 0.500
2 K 0.201 0.201 0.000
3 K 0.500 0.000 0.500
4 K 0.799 0.799 0.000
5 V 0.421 0.421 0.000
6 V 0.579 0.579 0.000
7 Bi 0.000 0.000 0.000

space-group type = I4/mmm, No. 139
energy of formation = 94.2 kJ per mole of atoms
total moment = 8.374 μB/f.u.

---

8.
The following is a DFT calculation (PBE) of a relaxed KV2Bi2 crystal.

a b c (Å): 10.078 10.078 10.078
angles (deg): 159.33 159.33 29.39
Sites, in units of the cell vectors:
1 K 0.000 0.000 0.000
2 V 0.250 0.750 0.500
3 V 0.750 0.250 0.500
4 Bi 0.364 0.364 0.000
5 Bi 0.636 0.636 0.000

space-group type = I4/mmm, No. 139
energy of formation = 8.5 kJ per mole of atoms
total moment = 0.000 μB/f.u.

---

9.
The following is a DFT calculation (PBE) of a relaxed KV3Bi crystal.

a b c (Å): 4.501 4.501 4.501
angles (deg): 90.00 90.00 90.00
Sites, in units of the cell vectors:
1 K 0.000 0.000 0.000
2 V 0.000 0.000 0.500
3 V 0.000 0.500 0.000
4 V 0.500 0.000 0.000
5 Bi 0.500 0.500 0.500

space-group type = Pm-3m, No. 221
excess energy over the best structure of this formula in the dataset = 966 meV per atom
energy of formation = 228.0 kJ per mole of atoms
total moment = 0.000 μB/f.u.

---

10.
The following is a DFT calculation (PBE) of a relaxed KVBi crystal.

a b c (Å): 4.124 4.124 11.476
angles (deg): 90.00 90.00 90.00
Sites, in units of the cell vectors:
1 K 0.250 0.250 0.175
2 K 0.750 0.750 0.825
3 V 0.250 0.750 0.500
4 V 0.750 0.250 0.500
5 Bi 0.250 0.250 0.664
6 Bi 0.750 0.750 0.336

space-group type = P4/nmm, No. 129
energy of formation = 13.0 kJ per mole of atoms
total moment = 0.454 μB/f.u.

---

11.
The following is a DFT calculation (PBE) of a relaxed KBi3W crystal.

a b c (Å): 5.542 5.542 5.542
angles (deg): 90.00 90.00 90.00
Sites, in units of the cell vectors:
1 K 0.000 0.000 0.000
2 Bi 0.000 0.500 0.500
3 Bi 0.500 0.000 0.500
4 Bi 0.500 0.500 0.000
5 W 0.500 0.500 0.500

space-group type = Pm-3m, No. 221
excess energy over the best structure of this formula in the dataset = 0 meV per atom
energy of formation = 45.7 kJ per mole of atoms
total moment = 0.000 μB/f.u.

---

12.
The following is a DFT calculation (PBE) of a relaxed KBiW crystal.

a b c (Å): 3.474 4.649 13.370
angles (deg): 92.45 91.43 111.90
Sites, in units of the cell vectors:
1 K 0.000 0.000 0.000
2 K 0.292 0.452 0.701
3 Bi 0.541 0.986 0.513
4 Bi 0.758 0.483 0.188
5 W 0.203 0.335 0.373
6 W 0.499 0.939 0.304

space-group type = P1, No. 1
excess energy over the best structure of this formula in the dataset = 104 meV per atom
energy of formation = 37.7 kJ per mole of atoms
total moment = 0.000 μB/f.u.

---

13.
The following is a DFT calculation (PBE) of a relaxed K2BiW crystal.

a b c (Å): 9.978 9.978 9.978
angles (deg): 94.15 94.15 148.79
Sites, in units of the cell vectors:
1 K 0.375 0.139 0.264
2 K 0.861 0.125 0.236
3 K 0.875 0.111 0.736
4 K 0.889 0.625 0.764
5 Bi 0.250 0.750 0.500
6 Bi 0.500 0.500 0.000
7 W 0.000 0.000 0.000
8 W 0.750 0.250 0.500

space-group type = I-42d, No. 122
energy of formation = 97.8 kJ per mole of atoms
total moment = 3.000 μB/f.u.

---

14.
The following is a DFT calculation (PBE) of a relaxed KBi2W2 crystal.

a b c (Å): 9.524 9.524 9.524
angles (deg): 156.43 156.43 33.57
Sites, in units of the cell vectors:
1 K 0.000 0.000 0.000
2 Bi 0.368 0.368 0.000
3 Bi 0.632 0.632 0.000
4 W 0.250 0.750 0.500
5 W 0.750 0.250 0.500

space-group type = I4/mmm, No. 139
excess energy over the best structure of this formula in the dataset = 0 meV per atom
energy of formation = 31.1 kJ per mole of atoms
total moment = 0.000 μB/f.u.

---

15.
The following is a DFT calculation (PBE) of a relaxed KBi2W2 crystal.

a b c (Å): 9.149 9.149 3.313
angles (deg): 90.00 90.00 90.00
Sites, in units of the cell vectors:
1 K 0.000 0.000 0.000
2 K 0.500 0.500 0.000
3 Bi 0.169 0.331 0.000
4 Bi 0.331 0.831 0.000
5 Bi 0.669 0.169 0.000
6 Bi 0.831 0.669 0.000
7 W 0.089 0.589 0.500
8 W 0.411 0.089 0.500
9 W 0.589 0.911 0.500
10 W 0.911 0.411 0.500

space-group type = P4/mbm, No. 127
excess energy over the best structure of this formula in the dataset = 522 meV per atom
energy of formation = 81.5 kJ per mole of atoms
total moment = 0.000 μB/f.u.

---

16.
The following is a DFT calculation (PBE) of a relaxed KBiW crystal.

a b c (Å): 3.655 4.156 12.924
angles (deg): 90.21 90.10 90.00
Sites, in units of the cell vectors:
1 K 0.247 0.246 0.155
2 K 0.753 0.754 0.845
3 Bi 0.251 0.252 0.666
4 Bi 0.749 0.748 0.334
5 W 0.250 0.750 0.505
6 W 0.750 0.250 0.495

space-group type = P-1, No. 2
excess energy over the best structure of this formula in the dataset = 0 meV per atom
energy of formation = 27.7 kJ per mole of atoms
total moment = 0.000 μB/f.u.

---

17.
The following is a DFT calculation (PBE) of a relaxed KBiW2 crystal.

a b c (Å): 10.984 10.984 10.984
angles (deg): 156.94 156.94 32.85
Sites, in units of the cell vectors:
1 K 0.000 0.000 0.000
2 K 0.750 0.250 0.500
3 Bi 0.250 0.750 0.500
4 Bi 0.500 0.500 0.000
5 W 0.221 0.125 0.596
6 W 0.375 0.779 0.904
7 W 0.529 0.625 0.404
8 W 0.875 0.471 0.096

space-group type = I-42d, No. 122
energy of formation = 156.1 kJ per mole of atoms
total moment = 0.000 μB/f.u.

---

18.
The following is a DFT calculation (PBE) of a relaxed KBiW crystal.

a b c (Å): 9.095 9.095 6.675
angles (deg): 107.57 107.57 21.71
Sites, in units of the cell vectors:
1 K 0.102 0.102 0.322
2 K 0.898 0.898 0.678
3 Bi 0.398 0.398 0.175
4 Bi 0.602 0.602 0.825
5 W 0.243 0.243 0.866
6 W 0.757 0.757 0.134

space-group type = C2/m, No. 12
excess energy over the best structure of this formula in the dataset = 251 meV per atom
energy of formation = 51.9 kJ per mole of atoms
total moment = 0.000 μB/f.u.

---

19.
The following is a DFT calculation (PBE) of a relaxed KBiW crystal.

a b c (Å): 4.451 4.451 12.970
angles (deg): 100.30 100.30 60.27
Sites, in units of the cell vectors:
1 K 0.000 0.000 0.000
2 K 0.234 0.234 0.678
3 Bi 0.403 0.403 0.198
4 Bi 0.501 0.501 0.480
5 W 0.119 0.119 0.339
6 W 0.785 0.785 0.339

space-group type = Cm, No. 8
excess energy over the best structure of this formula in the dataset = 71 meV per atom
energy of formation = 34.5 kJ per mole of atoms
total moment = 0.000 μB/f.u.

---

20.
The following is a DFT calculation (PBE) of a relaxed KBiW crystal.

a b c (Å): 9.076 9.076 5.933
angles (deg): 91.61 91.61 21.82
Sites, in units of the cell vectors:
1 K 0.000 0.000 0.000
2 K 0.150 0.150 0.521
3 Bi 0.465 0.465 0.499
4 Bi 0.727 0.727 0.034
5 W 0.327 0.327 0.728
6 W 0.834 0.834 0.427

space-group type = Cm, No. 8
excess energy over the best structure of this formula in the dataset = 172 meV per atom
energy of formation = 44.2 kJ per mole of atoms
total moment = 0.000 μB/f.u.

---

21.
The following is a DFT calculation (PBE) of a relaxed KBiW crystal.

a b c (Å): 5.060 5.906 7.426
angles (deg): 78.91 70.25 64.83
Sites, in units of the cell vectors:
1 K 0.211 0.214 0.364
2 K 0.789 0.786 0.636
3 Bi 0.416 0.360 0.808
4 Bi 0.584 0.640 0.192
5 W 0.078 0.792 0.052
6 W 0.922 0.208 0.948

space-group type = P-1, No. 2
excess energy over the best structure of this formula in the dataset = 334 meV per atom
energy of formation = 59.8 kJ per mole of atoms
total moment = 0.000 μB/f.u.

---

22.
The following is a DFT calculation (PBE) of a relaxed KBiW crystal.

a b c (Å): 3.518 3.518 14.399
angles (deg): 90.00 90.20 90.00
Sites, in units of the cell vectors:
1 K 0.244 0.250 0.139
2 K 0.756 0.750 0.861
3 Bi 0.253 0.250 0.668
4 Bi 0.747 0.750 0.332
5 W 0.249 0.250 0.460
6 W 0.751 0.750 0.540

space-group type = P2_1/m, No. 11
excess energy over the best structure of this formula in the dataset = 58 meV per atom
energy of formation = 33.3 kJ per mole of atoms
total moment = 0.000 μB/f.u.

---

23.
The following is a DFT calculation (PBE) of a relaxed KY2Bi crystal.

a b c (Å): 11.647 11.647 11.647
angles (deg): 149.16 149.16 44.17
Sites, in units of the cell vectors:
1 K 0.375 0.625 0.750
2 K 0.625 0.375 0.250
3 Y 0.000 0.000 0.000
4 Y 0.000 0.000 0.500
5 Y 0.000 0.500 0.000
6 Y 0.500 0.000 0.500
7 Bi 0.125 0.875 0.250
8 Bi 0.875 0.125 0.750

space-group type = I4_1/amd, No. 141
excess energy over the best structure of this formula in the dataset = 246 meV per atom
energy of formation = 32.5 kJ per mole of atoms
total moment = 0.001 μB/f.u.

---

24.
The following is a DFT calculation (PBE) of a relaxed K2YBi crystal.

a b c (Å): 6.053 6.053 6.053
angles (deg): 60.00 60.00 60.00
Sites, in units of the cell vectors:
1 K 0.250 0.250 0.250
2 K 0.750 0.750 0.750
3 Y 0.000 0.000 0.000
4 Bi 0.500 0.500 0.500

space-group type = Fm-3m, No. 225
energy of formation = 28.2 kJ per mole of atoms
total moment = 0.000 μB/f.u.

---

25.
The following is a DFT calculation (PBE) of a relaxed KY2Bi crystal.

a b c (Å): 5.625 5.625 5.625
angles (deg): 60.00 60.00 60.00
Sites, in units of the cell vectors:
1 K 0.000 0.000 0.000
2 Y 0.250 0.250 0.250
3 Y 0.750 0.750 0.750
4 Bi 0.500 0.500 0.500

space-group type = Fm-3m, No. 225
excess energy over the best structure of this formula in the dataset = 0 meV per atom
energy of formation = 8.7 kJ per mole of atoms
total moment = 1.802 μB/f.u.

---

26.
The following is a DFT calculation (PBE) of a relaxed KYBi2 crystal.

a b c (Å): 9.194 9.194 9.194
angles (deg): 28.23 28.23 28.23
Sites, in units of the cell vectors:
1 K 0.000 0.000 0.000
2 Y 0.169 0.169 0.169
3 Bi 0.570 0.570 0.570
4 Bi 0.767 0.767 0.767

space-group type = R3m, No. 160
excess energy over the best structure of this formula in the dataset = 161 meV per atom
energy of formation = -36.6 kJ per mole of atoms
total moment = 0.000 μB/f.u.

---

27.
The following is a DFT calculation (PBE) of a relaxed KYBi3 crystal.

a b c (Å): 5.979 5.979 5.979
angles (deg): 90.00 90.00 90.00
Sites, in units of the cell vectors:
1 K 0.000 0.000 0.000
2 Y 0.500 0.500 0.500
3 Bi 0.000 0.500 0.500
4 Bi 0.500 0.000 0.500
5 Bi 0.500 0.500 0.000

space-group type = Pm-3m, No. 221
excess energy over the best structure of this formula in the dataset = 0 meV per atom
energy of formation = -12.6 kJ per mole of atoms
total moment = 0.000 μB/f.u.

---

Respective uncorrected energy values: -8.24, -10.17, -20.21, -20.65, -21.26, -25.35, -19.67, -26.66, -20.52, -27.39, -23.33, -33.52, -29.95, -33.15, -61.08, -34.14, -48.83, -32.63, -33.72, -33.11, -32.14, -33.79, -33.12, -11.37, -17.55, -16.84, -19.86 eV per cell.